A plane-wave DFT calculation with PBE was carried out for a relaxed structure of CuRe2Au.

Output
The calculation puts the energy above the most stable polymorph in this dataset at 103 meV per atom. Its formation energy from the elements is 279 meV/atom. The volume is 15.5 A^3/atom. The value obtained for the density of states at the Fermi level is 0.73 states/eV/atom.

Cell lengths 2.986, 2.986, 6.938 Å; angles 90.00, 90.00, 90.00 degrees
Atoms (fractional coordinates):
Re 0.500 0.500 0.215
Re 0.000 0.000 0.007
Au 0.000 0.000 0.521
Cu 0.500 0.500 0.757